(1)
DFT (PBE-GGA) results for Li3In3AgIr2 after structural relaxation.

POSCAR file:
```
Li3In3AgIr2
1.0
-0.078 2.082 2.213
-3.905 -4.851 4.427
7.638 0.062 0.211
In Ir Li Ag
3 2 3 1
Direct
0.000 0.611 0.611
0.000 0.389 0.000
0.000 0.000 0.389
0.500 0.333 0.667
0.500 0.667 0.333
0.500 0.289 0.289
0.500 0.711 0.000
0.500 0.000 0.711
0.000 0.000 0.000
```

## Properties
DFT total energy (eV for the cell shown): -36.6
Energy relative to the elements (eV per atom): -0.225
Magnetic moment (μB per formula unit): 0.000
ρ (g cm⁻³): 9.3
Symmetry: P-62m (189)
Density of states at the Fermi level (states/eV/atom): 0.34

(2)
DFT (PBE-GGA) results for Ac3Dy3TmSe8 after structural relaxation.

POSCAR file:
```
Ac3Dy3TmSe8
1.0
8.348 0.000 0.000
-4.174 7.230 -0.026
0.000 -4.793 7.176
Dy Se Ac Tm
3 8 3 1
Direct
0.500 0.500 0.500
0.500 0.000 0.500
0.000 0.500 0.500
0.740 0.481 0.721
0.242 0.982 0.723
0.260 0.519 0.279
0.740 0.982 0.723
0.242 0.483 0.723
0.260 0.018 0.277
0.758 0.517 0.277
0.758 0.018 0.277
0.500 0.500 0.000
0.000 0.500 0.000
0.000 0.000 0.000
0.000 0.000 0.500
```

## Properties
DFT total energy (eV for the cell shown): -86.2
E_form (uncorrected) (eV per atom): -1.849
Magnetic moment (μB per formula unit): 0.000
ρ (g cm⁻³): 7.6
Symmetry: R-3m (166)
Density of states at the Fermi level (states/eV/atom): 0.47

(3)
DFT (PBE-GGA) results for Ho3Zn7Ag2 after structural relaxation.

POSCAR file:
```
Ho3Zn7Ag2
1.0
-3.373 -2.020 -3.765
2.013 -2.439 -4.431
-0.533 -9.183 1.469
Zn Ho Ag
7 3 2
Direct
0.589 0.079 0.744
0.411 0.411 0.256
0.921 0.411 0.256
0.500 0.500 0.500
0.411 0.921 0.256
0.589 0.589 0.744
0.079 0.589 0.744
0.858 0.858 0.425
0.000 0.000 0.000
0.142 0.142 0.575
0.335 0.335 0.996
0.665 0.665 0.004
```

## Properties
DFT total energy (eV for the cell shown): -31.8
Energy relative to the elements (eV per atom): -0.286
Magnetic moment (μB per formula unit): 0.000
ρ (g cm⁻³): 8.6
Symmetry: R-3m (166)
Density of states at the Fermi level (states/eV/atom): 0.69

(4)
DFT (PBE-GGA) results for Ca2MgMn after structural relaxation.

POSCAR file:
```
Ca2MgMn
1.0
3.788 0.000 0.000
0.000 3.847 0.048
0.000 3.768 7.778
Mg Ca Mn
1 2 1
Direct
0.500 0.250 0.250
0.000 0.020 0.980
0.000 0.480 0.520
0.500 0.750 0.750
```

## Properties
DFT total energy (eV for the cell shown): -13.8
Energy relative to the elements (eV per atom): 0.233
Magnetic moment (μB per formula unit): 3.957
ρ (g cm⁻³): 2.3
Symmetry: P2/m (10)
Density of states at the Fermi level (states/eV/atom): 1.15